# 1
{"formula": "Pu3TeS3", "functional": "PBE-GGA", "state": "optimized geometry", "e_form_raw_ev_per_fu": -10.30, "energy_ev_per_atom": -9.83, "cell": [[-3.5863, 2.3680, 6.6880], [1.7893, -3.4843, 6.9179], [4.6755, 4.5158, 5.6329]], "species": ["Pu", "Pu", "Pu", "Pu", "S", "S", "Pu", "Pu", "S", "S", "S", "S", "Te", "Te"], "fractional_positions": [[0.0834, 0.7251, 0.7144], [0.2749, 0.5228, 0.2856], [0.9166, 0.2749, 0.2856], [0.7251, 0.4772, 0.7144], [0.1755, 0.8731, 0.3411], [0.8731, 0.6103, 0.3411], [0.4772, 0.0834, 0.7144], [0.5228, 0.9166, 0.2856], [0.1269, 0.3897, 0.6589], [0.6103, 0.1755, 0.3411], [0.3897, 0.8245, 0.6589], [0.8245, 0.1269, 0.6589], [0.3343, 0.3343, 0.9971], [0.6657, 0.6657, 0.0029]]}

***

# 2
{"formula": "PaAg2S4", "functional": "PBE-GGA", "state": "optimized geometry", "polymorph_energy_ev_per_atom": 0.000, "e_form_raw_ev_per_fu": -5.12, "energy_ev_per_atom": -5.26, "cell": [[-3.7019, 2.2270, 5.7584], [-3.8829, -1.7200, -5.8127], [3.3925, -6.0254, 2.0023]], "species": ["S", "S", "Ag", "Ag", "S", "S", "Ag", "S", "Pa", "S", "S", "Ag", "S", "Pa"], "fractional_positions": [[0.7120, 0.8757, 0.2304], [0.0380, 0.7685, 0.6637], [0.1930, 0.1250, 0.5680], [0.3750, 0.8070, 0.9320], [0.1047, 0.3743, 0.3363], [0.5185, 0.2880, 0.1637], [0.8750, 0.4430, 0.0680], [0.6453, 0.4815, 0.7696], [0.7500, 0.2500, 0.5000], [0.2315, 0.8953, 0.2696], [0.1243, 0.3547, 0.8363], [0.5570, 0.6250, 0.4320], [0.6257, 0.9620, 0.7304], [0.0000, 0.0000, 0.0000]]}

***

# 3
{"formula": "Ba2InSnH", "functional": "PBE-GGA", "state": "optimized geometry", "polymorph_energy_ev_per_atom": 0.045, "energy_ev_per_atom": -3.15, "cell": [[5.7702, 0.0000, 0.0000], [0.0000, 5.7702, 0.0000], [0.0000, 0.0000, 4.6054]], "species": ["Ba", "In", "Ba", "H", "Sn"], "fractional_positions": [[0.0000, 0.5000, 0.0000], [0.5000, 0.5000, 0.5000], [0.5000, 0.0000, 0.0000], [0.0000, 0.0000, 0.0000], [0.0000, 0.0000, 0.5000]]}